[1]
A geometry-optimized PmIn2Pb structure, computed with PBE-GGA.

Computed properties:
- N(E_F) (states/eV/f.u.) = 1.90
- SG = No. 225
- magnetization (μB/f.u.) = 0.000
- VASP energy (eV/atom) = -3.68
- distance to the lowest polymorph of the same formula (meV/atom) = 228

a = 5.4835 Å, b = 5.4835 Å, c = 5.4835 Å
α = 60.00°, β = 60.00°, γ = 60.00°
Closest atoms and distances in Å follow each position.
Atoms (fractional coordinates):
1 Pm 0.0000 0.0000 0.0000  8 In 3.36
2 In 0.2500 0.2500 0.2500  4 Pb 3.36, 4 Pm 3.36
3 In 0.7500 0.7500 0.7500  4 Pb 3.36, 4 Pm 3.36
4 Pb 0.5000 0.5000 0.5000  8 In 3.36


[2]
A geometry-optimized ErPd6Au structure, computed with PBE-GGA.

Computed properties:
- N(E_F) (states/eV/f.u.) = 10.00
- SG = No. 123
- magnetization (μB/f.u.) = 0.000
- VASP energy (eV/atom) = -5.34
- distance to the lowest polymorph of the same formula (meV/atom) = 0

a = 5.7000 Å, b = 5.7000 Å, c = 4.1017 Å
α = 90.00°, β = 90.00°, γ = 90.00°
Closest atoms and distances in Å follow each position.
Atoms (fractional coordinates):
1 Er 0.0000 0.0000 0.0000  12 Pd 2.85-2.89
2 Pd 0.0000 0.5000 0.0000  2 Au 2.85, 2 Er 2.85, 8 Pd 2.88
3 Pd 0.2532 0.2532 0.5000  8 Pd 2.81-2.89, 2 Au 2.86, 2 Er 2.89
4 Pd 0.2532 0.7468 0.5000  8 Pd 2.81-2.89, 2 Au 2.86, 2 Er 2.89
5 Pd 0.5000 0.0000 0.0000  2 Au 2.85, 2 Er 2.85, 8 Pd 2.88
6 Pd 0.7468 0.2532 0.5000  8 Pd 2.81-2.89, 2 Au 2.86, 2 Er 2.89
7 Pd 0.7468 0.7468 0.5000  8 Pd 2.81-2.89, 2 Au 2.86, 2 Er 2.89
8 Au 0.5000 0.5000 0.0000  12 Pd 2.85-2.86


[3]
A geometry-optimized NaLaTc2 structure, computed with PBE-GGA.

Computed properties:
- N(E_F) (states/eV/f.u.) = 4.83
- SG = No. 122
- magnetization (μB/f.u.) = 0.164
- VASP energy (eV/atom) = -5.60
- distance to the lowest polymorph of the same formula (meV/atom) = 123

a = 6.2154 Å, b = 6.2154 Å, c = 6.2154 Å
α = 100.50°, β = 100.50°, γ = 129.45°
Closest atoms and distances in Å follow each position.
Atoms (fractional coordinates):
1 Na 0.0000 0.0000 0.0000  2 La 2.65, 4 Tc 2.78
2 Na 0.7500 0.2500 0.5000  2 La 2.65, 4 Tc 2.78
3 La 0.2500 0.7500 0.5000  2 Na 2.65
4 La 0.5000 0.5000 0.0000  2 Na 2.65
5 Tc 0.1049 0.6250 0.9799  2 Tc 2.67, 2 Na 2.78
6 Tc 0.3750 0.3549 0.4799  2 Tc 2.67, 2 Na 2.78
7 Tc 0.6451 0.1250 0.0201  2 Tc 2.67, 2 Na 2.78
8 Tc 0.8750 0.8951 0.5201  2 Tc 2.67, 2 Na 2.78


[4]
A geometry-optimized CeYO structure, computed with PBE-GGA.

Computed properties:
- N(E_F) (states/eV/f.u.) = 4.59
- E_form (uncorrected) (eV/atom) = -1.722
- SG = No. 156
- magnetization (μB/f.u.) = 0.938
- VASP energy (eV/atom) = -7.51
- distance to the lowest polymorph of the same formula (meV/atom) = 9

a = 3.5580 Å, b = 3.5580 Å, c = 5.9282 Å
α = 90.00°, β = 90.00°, γ = 120.00°
Closest atoms and distances in Å follow each position.
Atoms (fractional coordinates):
1 Ce 0.0000 0.0000 0.0000  3 O 2.50
2 Y 0.3333 0.6667 0.4606  3 O 2.43
3 O 0.6667 0.3333 0.2402  3 Y 2.43, 3 Ce 2.50


[5]
A geometry-optimized BaCd2Hg7 structure, computed with PBE-GGA.

Computed properties:
- N(E_F) (states/eV/f.u.) = 4.72
- SG = No. 65
- magnetization (μB/f.u.) = 0.000
- VASP energy (eV/atom) = -0.66

a = 9.3670 Å, b = 9.3670 Å, c = 4.8222 Å
α = 90.00°, β = 90.00°, γ = 125.07°
Closest atoms and distances in Å follow each position.
Atoms (fractional coordinates):
1 Ba 0.0000 0.0000 0.0000  10 Hg 3.56-3.60
2 Cd 0.3180 0.6819 0.5000  5 Hg 2.88-3.02
3 Cd 0.6819 0.3180 0.5000  5 Hg 2.88-3.02
4 Hg 0.0592 0.3100 0.5000  1 Cd 2.88, 1 Hg 3.19
5 Hg 0.2167 0.7833 0.0000  2 Cd 2.94, 4 Hg 3.27
6 Hg 0.3100 0.0592 0.5000  1 Cd 2.88, 1 Hg 3.19
7 Hg 0.5000 0.5000 0.5000  2 Cd 3.02
8 Hg 0.6900 0.9408 0.5000  1 Cd 2.88, 1 Hg 3.19
9 Hg 0.7833 0.2167 0.0000  2 Cd 2.94, 4 Hg 3.27
10 Hg 0.9408 0.6900 0.5000  1 Cd 2.88, 1 Hg 3.19


[6]
A geometry-optimized TlReAs structure, computed with PBE-GGA.

Computed properties:
- N(E_F) (states/eV/f.u.) = 2.19
- SG = No. 42
- magnetization (μB/f.u.) = 0.000
- VASP energy (eV/atom) = -5.88
- distance to the lowest polymorph of the same formula (meV/atom) = 211

a = 8.4160 Å, b = 8.2051 Å, c = 3.0022 Å
α = 83.58°, β = 75.66°, γ = 20.76°
Closest atoms and distances in Å follow each position.
Atoms (fractional coordinates):
1 Tl 0.0000 0.0000 0.0000  6 Tl 3.00-3.32, 2 Re 3.08
2 Re 0.6615 0.6615 0.3385  2 As 2.43
3 As 0.2722 0.2722 0.7278  2 Re 2.43


[7]
A geometry-optimized CaSmYIn structure, computed with PBE-GGA.

Computed properties:
- N(E_F) (states/eV/f.u.) = 3.41
- SG = No. 216
- magnetization (μB/f.u.) = 0.001
- VASP energy (eV/atom) = -4.15

a = 5.5391 Å, b = 5.5391 Å, c = 5.5391 Å
α = 60.00°, β = 60.00°, γ = 60.00°
Closest atoms and distances in Å follow each position.
Atoms (fractional coordinates):
1 Ca 0.0000 0.0000 0.0000  4 Sm 3.39, 4 Y 3.39
2 Sm 0.7500 0.7500 0.7500  4 In 3.39, 4 Ca 3.39
3 Y 0.2500 0.2500 0.2500  4 In 3.39, 4 Ca 3.39
4 In 0.5000 0.5000 0.5000  4 Sm 3.39, 4 Y 3.39


[8]
A geometry-optimized KRuI2O structure, computed with PBE-GGA.

Computed properties:
- N(E_F) (states/eV/f.u.) = 10.42
- E_form (uncorrected) (eV/atom) = 1.013
- SG = No. 123
- magnetization (μB/f.u.) = 5.013
- VASP energy (eV/atom) = -2.67
- distance to the lowest polymorph of the same formula (meV/atom) = 1670

a = 6.2856 Å, b = 6.2856 Å, c = 4.6001 Å
α = 90.00°, β = 90.00°, γ = 90.00°
Closest atoms and distances in Å follow each position.
Atoms (fractional coordinates):
1 K 0.0000 0.0000 0.0000  2 O 2.30
2 Ru 0.5000 0.5000 0.5000  8 I 3.89
3 I 0.0000 0.5000 0.0000  2 K 3.14
4 I 0.5000 0.0000 0.0000  2 K 3.14
5 O 0.0000 0.0000 0.5000  2 K 2.30


[9]
A geometry-optimized Dy4InCo structure, computed with PBE-GGA.

Computed properties:
- N(E_F) (states/eV/f.u.) = 4.76
- SG = No. 12
- magnetization (μB/f.u.) = 0.000
- VASP energy (eV/atom) = -4.98
- distance to the lowest polymorph of the same formula (meV/atom) = 32

a = 8.8476 Å, b = 8.8476 Å, c = 5.7796 Å
α = 108.73°, β = 108.73°, γ = 47.79°
Closest atoms and distances in Å follow each position.
Atoms (fractional coordinates):
1 Dy 0.1393 0.6267 0.3859  2 Co 2.82-2.83
2 Dy 0.2133 0.7867 0.0000  2 Co 2.57
3 Dy 0.3203 0.3203 0.8252  2 Co 3.13-3.14, 2 Dy 3.41, 2 In 3.42-3.47
4 Dy 0.3733 0.8607 0.6141  2 Co 2.82-2.83
5 Dy 0.6267 0.1393 0.3859  2 Co 2.82-2.83
6 Dy 0.6797 0.6797 0.1748  2 Co 3.13-3.14, 2 Dy 3.41, 2 In 3.42-3.47
7 Dy 0.7867 0.2133 0.0000  2 Co 2.57
8 Dy 0.8607 0.3733 0.6141  2 Co 2.82-2.83
9 In 0.1962 0.1962 0.1977  12 Dy 3.32-3.65
10 In 0.8038 0.8038 0.8023  12 Dy 3.32-3.65
11 Co 0.4998 0.4998 0.2684  6 Dy 2.57-2.83, 1 Co 2.68
12 Co 0.5002 0.5002 0.7316  6 Dy 2.57-2.83, 1 Co 2.68


[10]
A geometry-optimized SrZrMnN3 structure, computed with PBE-GGA.

Computed properties:
- N(E_F) (states/eV/f.u.) = 1.39
- E_form (uncorrected) (eV/atom) = -0.945
- SG = No. 11
- magnetization (μB/f.u.) = 1.593
- VASP energy (eV/atom) = -8.34

a = 7.2456 Å, b = 3.3580 Å, c = 7.6606 Å
α = 90.00°, β = 104.06°, γ = 90.00°
Closest atoms and distances in Å follow each position.
Atoms (fractional coordinates):
1 Sr 0.1867 0.2500 0.1991  5 N 2.61-2.79
2 Sr 0.8133 0.7500 0.8009  5 N 2.61-2.79
3 Zr 0.3504 0.7500 0.8530  5 N 2.15-2.32
4 Zr 0.6496 0.2500 0.1470  5 N 2.15-2.32
5 Mn 0.0829 0.2500 0.6009  4 N 1.85-1.89
6 Mn 0.9171 0.7500 0.3991  4 N 1.85-1.89
7 N 0.1293 0.2500 0.8490  1 Mn 1.85
8 N 0.1706 0.7500 0.5396  3 Mn 1.89
9 N 0.4422 0.7500 0.1412  3 Zr 2.15-2.25
10 N 0.5578 0.2500 0.8588  3 Zr 2.15-2.25
11 N 0.8294 0.2500 0.4604  3 Mn 1.89
12 N 0.8707 0.7500 0.1510  1 Mn 1.85


[11]
A geometry-optimized Ca2Ac2Ag3 structure, computed with PBE-GGA.

Computed properties:
- N(E_F) (states/eV/f.u.) = 6.02
- SG = No. 166
- magnetization (μB/f.u.) = 0.000
- VASP energy (eV/atom) = -3.14

a = 9.5225 Å, b = 9.5225 Å, c = 9.5225 Å
α = 32.62°, β = 32.62°, γ = 32.62°
Closest atoms and distances in Å follow each position.
Atoms (fractional coordinates):
1 Ca 0.1296 0.1296 0.1296  7 Ag 3.24-3.33
2 Ca 0.8704 0.8704 0.8704  7 Ag 3.24-3.33
3 Ac 0.3769 0.3769 0.3769  5 Ag 3.27-3.45
4 Ac 0.6231 0.6231 0.6231  5 Ag 3.27-3.45
5 Ag 0.2495 0.2495 0.2495  4 Ca 3.24-3.33, 4 Ac 3.27-3.45
6 Ag 0.5000 0.5000 0.5000  6 Ca 3.25, 2 Ac 3.33
7 Ag 0.7505 0.7505 0.7505  4 Ca 3.24-3.33, 4 Ac 3.27-3.45


[12]
A geometry-optimized Ir2C structure, computed with PBE-GGA.

Computed properties:
- N(E_F) (states/eV/f.u.) = 1.31
- SG = No. 6
- magnetization (μB/f.u.) = 0.000
- VASP energy (eV/atom) = -8.40
- distance to the lowest polymorph of the same formula (meV/atom) = 22

a = 3.1650 Å, b = 2.8073 Å, c = 4.6381 Å
α = 90.00°, β = 105.11°, γ = 90.00°
Closest atoms and distances in Å follow each position.
Atoms (fractional coordinates):
1 Ir 0.0000 0.0000 0.0000  2 C 2.02
2 Ir 0.4936 0.5000 0.4604  2 C 1.91-1.98
3 C 0.1042 0.5000 0.7133  4 Ir 1.91-2.02


[13]
A geometry-optimized LaTlMo2 structure, computed with PBE-GGA.

Computed properties:
- N(E_F) (states/eV/f.u.) = 5.63
- SG = No. 123
- magnetization (μB/f.u.) = 0.104
- VASP energy (eV/atom) = -6.51
- distance to the lowest polymorph of the same formula (meV/atom) = 535

a = 4.6713 Å, b = 4.6713 Å, c = 3.7927 Å
α = 90.00°, β = 90.00°, γ = 90.00°
Closest atoms and distances in Å follow each position.
Atoms (fractional coordinates):
1 La 0.0000 0.0000 0.0000  8 Mo 3.01, 4 Tl 3.30
2 Tl 0.5000 0.5000 0.0000  8 Mo 3.01, 4 La 3.30
3 Mo 0.0000 0.5000 0.5000  4 Tl 3.01, 4 La 3.01, 4 Mo 3.30
4 Mo 0.5000 0.0000 0.5000  4 Tl 3.01, 4 La 3.01, 4 Mo 3.30